Below is crystalline SmIn4Sn at its relaxed geometry, with properties calculated at the PBE-GGA level.

Output
As for the energy of formation from the pure elements: -12 kJ/mol of atoms. Its spin magnetization is 0.00 μB/cell. As for the space group: F-43m, No. 216. The calculated density comes out at 7.53 Mg/m³. For the volume, the calculation gives 161 Å³/cell. As for the offset from the most stable computed form: 0.0000 eV per atom.

Unit cell a=6.102 b=6.102 c=6.102 alpha=60.00 beta=60.00 gamma=60.00
Atoms (fractional coordinates):
Sn  0.250  0.250  0.250
Sm  0.000  0.000  0.000
In  0.625  0.625  0.125
In  0.625  0.125  0.625
In  0.625  0.625  0.625
In  0.125  0.625  0.625